Compound: ZnSbPO
Source: OQMD via LeMat-Bulk
Functional: PBE
Structure: optimized geometry

```
ZnSbPO
1.0
3.577 0.000 0.000
0.000 7.621 0.000
0.000 0.000 6.016
Zn Sb P O
2 2 2 2
Cartesian
0.000 1.086 0.000
0.000 6.536 3.008
1.788 2.621 3.453
1.788 5.001 0.445
0.000 1.229 2.367
0.000 6.392 5.375
1.788 1.706 5.260
1.788 5.915 2.252
```

Computed properties:
raw total energy: -4.506 eV/atom
offset from the most stable computed form: 0 meV per atom
theoretical density: 4.7 Mg/m³

***

Compound: ZnSbPO
Source: OQMD via LeMat-Bulk
Functional: PBE
Structure: optimized geometry

```
ZnSbPO
1.0
4.495 0.000 0.000
0.000 4.495 0.000
0.000 0.000 7.873
Zn Sb P O
2 2 2 2
Cartesian
1.124 1.124 0.083
3.371 3.371 7.790
1.124 3.371 3.936
3.371 1.124 3.936
1.124 1.124 2.638
3.371 3.371 5.235
1.124 3.371 0.000
3.371 1.124 0.000
```

Computed properties:
raw total energy: -3.991 eV/atom
offset from the most stable computed form: 516 meV per atom
theoretical density: 4.9 Mg/m³

***

Compound: ZnSbPO
Source: OQMD via LeMat-Bulk
Functional: PBE
Structure: optimized geometry

```
ZnSbPO
1.0
4.358 0.000 0.000
0.000 5.865 0.000
0.000 0.000 5.684
Zn Sb P O
2 2 2 2
Cartesian
0.000 0.911 0.000
0.000 4.954 2.842
2.179 1.531 2.399
2.179 4.334 5.242
2.179 1.707 5.021
2.179 4.158 2.178
0.000 1.014 2.092
0.000 4.852 4.934
```

Computed properties:
raw total energy: -4.456 eV/atom
offset from the most stable computed form: 50 meV per atom
theoretical density: 5.4 Mg/m³

***

Compound: ZrSbPO
Source: OQMD via LeMat-Bulk
Functional: PBE
Structure: optimized geometry

```
ZrSbPO
1.0
4.691 0.000 0.000
0.000 4.691 0.000
0.000 0.000 6.590
Zr Sb P O
2 2 2 2
Cartesian
1.173 3.518 0.000
3.518 1.173 0.000
1.173 1.173 2.832
3.518 3.518 3.758
1.173 1.173 5.518
3.518 3.518 1.072
1.173 3.518 3.295
3.518 1.173 3.295
```

Computed properties:
raw total energy: -6.487 eV/atom
offset from the most stable computed form: 455 meV per atom
theoretical density: 6.0 Mg/m³

***

Compound: ZrSbPO
Source: OQMD via LeMat-Bulk
Functional: PBE
Structure: optimized geometry

```
ZrSbPO
1.0
3.848 0.000 0.000
0.000 3.848 0.000
0.000 0.000 9.868
Zr Sb P O
2 2 2 2
Cartesian
0.962 0.962 1.141
2.886 2.886 8.727
0.962 2.886 4.934
2.886 0.962 4.934
0.962 0.962 7.437
2.886 2.886 2.430
0.962 2.886 0.000
2.886 0.962 0.000
```

Computed properties:
raw total energy: -6.750 eV/atom
offset from the most stable computed form: 192 meV per atom
theoretical density: 5.9 Mg/m³

***

Compound: ZrSbPO
Source: OQMD via LeMat-Bulk
Functional: PBE
Structure: optimized geometry

```
ZrSbPO
1.0
3.532 0.000 0.000
0.000 7.082 0.000
0.000 0.000 8.020
Zr Sb P O
2 2 2 2
Cartesian
0.000 1.514 0.000
0.000 5.568 4.010
1.766 1.195 4.214
1.766 5.887 0.204
0.000 0.522 2.433
0.000 6.560 6.443
1.766 2.435 7.823
1.766 4.647 3.813
```

Computed properties:
raw total energy: -6.942 eV/atom
offset from the most stable computed form: 0 meV per atom
theoretical density: 4.3 Mg/m³

***

- What is the offset from the most stable computed form in the fourth record?
  455 meV per atom

***

- theoretical density of number 6 (ZrSbPO)?
  4.3 Mg/m³